First-principles (PBE) data for crystalline AcPr3Sm2S6 at its relaxed geometry, as listed in Alexandria.

Values from the calculation:
Formation energy without anion corrections = -2.01 eV per atom
Magnetization = 0.000 μB per atom

a b c (Å): 7.127 7.127 7.112
angles (deg): 99.64 99.64 120.11
Sites, in units of the cell vectors:
Ac: 0.000 0.000 0.000
Pr: 0.163 0.837 0.500
Pr: 0.500 0.500 0.500
Pr: 0.837 0.163 0.500
Sm: 0.333 0.667 0.000
Sm: 0.667 0.333 0.000
S: 0.083 0.427 0.249
S: 0.263 0.263 0.755
S: 0.427 0.083 0.249
S: 0.573 0.917 0.751
S: 0.737 0.737 0.245
S: 0.917 0.573 0.751